# 1
PBE-GGA TbHoTe3Pb, relaxed; SG = Cmcm (63); V = 402.1 Å³ per cell; VASP energy = -27.60 eV per formula unit
1.0
2.2205 -7.6585 0.0000
2.2205 7.6585 0.0000
0.0000 0.0000 11.8212
Tb Ho Te Pb
2 2 6 2
Cartesian
0.0000 0.0000 0.0000
0.0000 0.0000 5.9106
2.2205 0.4759 8.8659
2.2205 -0.4759 2.9553
2.2205 6.1754 8.8659
2.2205 2.1555 6.3833
2.2205 2.1555 11.3485
2.2205 -2.1555 0.4727
2.2205 -2.1555 5.4379
2.2205 -6.1754 2.9553
2.2205 4.5747 2.9553
2.2205 -4.5747 8.8659

# 2
PBE-GGA Ta4GaCoN2, relaxed; SG = P-6m2 (187); V = 108.4 Å³ per cell; VASP energy = -78.46 eV per formula unit
1.0
3.0841 0.0000 0.0000
-1.5421 2.6709 0.0000
0.0000 0.0000 13.1598
Ta Ga Co N
4 1 1 2
Cartesian
0.0000 0.0000 1.9197
0.0000 0.0000 11.2401
0.0000 1.7806 4.3996
0.0000 1.7806 8.7602
0.0000 0.0000 6.5799
0.0000 1.7806 0.0000
1.5421 0.8903 3.1476
1.5421 0.8903 10.0123

# 3
PBE-GGA KTbNb, relaxed; SG = F-43m (216); V = 462.2 Å³ per cell; VASP energy = -11.02 eV per formula unit
1.0
7.7318 0.0000 0.0000
0.0000 7.7318 0.0000
0.0000 0.0000 7.7318
K Tb Nb
4 4 4
Cartesian
0.0000 0.0000 0.0000
0.0000 3.8659 3.8659
3.8659 0.0000 3.8659
3.8659 3.8659 0.0000
0.0000 0.0000 3.8659
0.0000 3.8659 0.0000
3.8659 0.0000 0.0000
3.8659 3.8659 3.8659
1.9329 1.9329 1.9329
1.9329 5.7988 5.7988
5.7988 1.9329 5.7988
5.7988 5.7988 1.9329

What did the third record say?
PBE-GGA KTbNb, relaxed; SG = F-43m (216); V = 462.2 Å³ per cell; VASP energy = -11.02 eV per formula unit
1.0
7.7318 0.0000 0.0000
0.0000 7.7318 0.0000
0.0000 0.0000 7.7318
K Tb Nb
4 4 4
Cartesian
0.0000 0.0000 0.0000
0.0000 3.8659 3.8659
3.8659 0.0000 3.8659
3.8659 3.8659 0.0000
0.0000 0.0000 3.8659
0.0000 3.8659 0.0000
3.8659 0.0000 0.0000
3.8659 3.8659 3.8659
1.9329 1.9329 1.9329
1.9329 5.7988 5.7988
5.7988 1.9329 5.7988
5.7988 5.7988 1.9329

Please write out number 1 again, unchanged.
PBE-GGA TbHoTe3Pb, relaxed; SG = Cmcm (63); V = 402.1 Å³ per cell; VASP energy = -27.60 eV per formula unit
1.0
2.2205 -7.6585 0.0000
2.2205 7.6585 0.0000
0.0000 0.0000 11.8212
Tb Ho Te Pb
2 2 6 2
Cartesian
0.0000 0.0000 0.0000
0.0000 0.0000 5.9106
2.2205 0.4759 8.8659
2.2205 -0.4759 2.9553
2.2205 6.1754 8.8659
2.2205 2.1555 6.3833
2.2205 2.1555 11.3485
2.2205 -2.1555 0.4727
2.2205 -2.1555 5.4379
2.2205 -6.1754 2.9553
2.2205 4.5747 2.9553
2.2205 -4.5747 8.8659

Please write out number 1 again, unchanged.
PBE-GGA TbHoTe3Pb, relaxed; SG = Cmcm (63); V = 402.1 Å³ per cell; VASP energy = -27.60 eV per formula unit
1.0
2.2205 -7.6585 0.0000
2.2205 7.6585 0.0000
0.0000 0.0000 11.8212
Tb Ho Te Pb
2 2 6 2
Cartesian
0.0000 0.0000 0.0000
0.0000 0.0000 5.9106
2.2205 0.4759 8.8659
2.2205 -0.4759 2.9553
2.2205 6.1754 8.8659
2.2205 2.1555 6.3833
2.2205 2.1555 11.3485
2.2205 -2.1555 0.4727
2.2205 -2.1555 5.4379
2.2205 -6.1754 2.9553
2.2205 4.5747 2.9553
2.2205 -4.5747 8.8659

> Number 1 is which compound?

TbHoTe3Pb